No. 1
Below is a relaxed GaFe2HgTe crystal, with properties calculated at the PBEsol level.

Cell lengths 4.865, 4.865, 5.575 Å; angles 90.00, 90.00, 90.00 degrees
Sites, in units of the cell vectors:
1 Ga 0.500 0.500 0.500
2 Te 0.000 0.000 0.500
3 Fe 0.500 0.000 0.000
4 Fe 0.000 0.500 0.000
5 Hg 0.000 0.000 0.000

Values from the calculation:
The value obtained for the total energy is -18.643 eV for the cell shown.

No. 2
Below is a relaxed HoGa6Fe6 crystal, with properties calculated at the PBEsol level.

Cell lengths 4.941, 6.442, 6.442 Å; angles 80.46, 67.45, 67.45 degrees
Sites, in units of the cell vectors:
1 Ga 0.683 0.817 0.817
2 Ga 0.000 0.666 0.334
3 Ga 0.344 0.656 0.656
4 Ga 0.317 0.183 0.183
5 Ga 0.656 0.344 0.344
6 Ga 0.000 0.334 0.666
7 Fe 0.500 0.243 0.757
8 Fe 0.500 0.757 0.243
9 Fe 0.000 0.000 0.500
10 Fe 0.500 0.500 0.000
11 Fe 0.000 0.500 0.000
12 Fe 0.500 0.000 0.500
13 Ho 0.000 0.000 0.000

Values from the calculation:
The value obtained for the formation energy is -0.35 eV per atom.

Total magnetic moment in Bohr magnetons per cell, matching the order above: 6.47, 10.39
DOS(E_F) in states/eV/f.u., matching the order above: 8.2, 8.4